1.
SrCrIrSI: optimized geometry, PBE-GGA.

Values from the calculation:
* density: 5.961 g cm⁻³
* E above lowest polymorph: 9 meV/atom
* energy relative to the elements, uncorrected: -462 meV/atom

Cell: 4.139 4.333 8.075 Å, 96.65 96.12 106.11°
Element x y z (fractional)
Sr1 0.000 0.000 0.000
Cr1 0.829 0.591 0.621
Ir1 0.446 0.013 0.710
S1 0.316 0.487 0.764
I1 0.698 0.476 0.258

=====

2.
SrCrIrSI: optimized geometry, PBE-GGA.

Values from the calculation:
* density: 6.596 g cm⁻³
* E above lowest polymorph: 117 meV/atom
* energy relative to the elements, uncorrected: -355 meV/atom

Cell: 6.160 6.160 5.813 Å, 106.61 106.61 35.96°
Element x y z (fractional)
Sr1 0.000 0.000 0.000
Cr1 0.729 0.729 0.579
Ir1 0.351 0.351 0.551
S1 0.524 0.524 0.421
I1 0.731 0.731 0.043

=====

3.
SrCrIrSI: optimized geometry, PBE-GGA.

Values from the calculation:
* density: 5.852 g cm⁻³
* E above lowest polymorph: 134 meV/atom
* energy relative to the elements, uncorrected: -337 meV/atom

Cell: 4.027 4.524 7.644 Å, 90.00 90.00 90.00°
Element x y z (fractional)
Sr1 0.000 0.000 0.000
Cr1 0.500 0.500 0.575
Ir1 0.000 0.500 0.730
S1 0.500 0.500 0.923
I1 0.500 0.000 0.373

=====

4.
SrCrIrSI: optimized geometry, PBE-GGA.

Values from the calculation:
* density: 5.990 g cm⁻³
* E above lowest polymorph: 44 meV/atom
* energy relative to the elements, uncorrected: -428 meV/atom

Cell: 8.053 8.053 4.549 Å, 102.38 102.38 28.22°
Element x y z (fractional)
Sr1 0.000 0.000 0.000
Cr1 0.204 0.204 0.204
Ir1 0.651 0.651 0.912
S1 0.141 0.141 0.603
I1 0.386 0.386 0.412

=====

Copy entry 1 word for word.
SrCrIrSI: optimized geometry, PBE-GGA.

Values from the calculation:
* density: 5.961 g cm⁻³
* E above lowest polymorph: 9 meV/atom
* energy relative to the elements, uncorrected: -462 meV/atom

Cell: 4.139 4.333 8.075 Å, 96.65 96.12 106.11°
Element x y z (fractional)
Sr1 0.000 0.000 0.000
Cr1 0.829 0.591 0.621
Ir1 0.446 0.013 0.710
S1 0.316 0.487 0.764
I1 0.698 0.476 0.258